# 1
The following is a meta-GGA SCAN calculation of Y2NiW at its PBEsol-relaxed geometry, from Alexandria via LeMat-Bulk.

Properties
* ΔH_f (0 K): 0.669 eV/atom
* ΔE to the lowest computed polymorph: 213.6 meV/atom
* space-group type: F-43m (216)
* VASP energy: -34.72 eV/atom
* total magnetization: 0.004 μB per cell

Cell: 4.718 4.718 4.718 Å, 60.00 60.00 60.00°
Fractional positions:
Y  0.000  0.000  0.000
Y  0.250  0.250  0.250
Ni  0.750  0.750  0.750
W  0.500  0.500  0.500

# 2
The following is a meta-GGA SCAN calculation of CrTe2P at its PBEsol-relaxed geometry, from Alexandria via LeMat-Bulk.

Properties
* space-group type: R-3m (166)
* VASP energy: -25.57 eV/atom
* total magnetization: 2.967 μB per cell
* ΔE_f (raw): 0.25 eV/atom

Cell: 8.811 8.811 8.811 Å, 23.84 23.84 23.84°
Fractional positions:
Cr  0.000  0.000  0.000
Te  0.396  0.396  0.396
Te  0.604  0.604  0.604
P  0.500  0.500  0.500

# 3
The following is a meta-GGA SCAN calculation of InFe2Se at its PBEsol-relaxed geometry, from Alexandria via LeMat-Bulk.

Properties
* ΔE to the lowest computed polymorph: 0.0 meV/atom
* space-group type: R-3m (166)
* VASP energy: -22.12 eV/atom
* total magnetization: 5.157 μB per cell
* ΔE_f (raw): 0.31 eV/atom

Cell: 7.851 7.851 7.851 Å, 22.03 22.03 22.03°
Fractional positions:
In  0.000  0.000  0.000
Fe  0.241  0.241  0.241
Fe  0.759  0.759  0.759
Se  0.500  0.500  0.500

# 4
The following is a meta-GGA SCAN calculation of TbTiFe11C at its PBEsol-relaxed geometry, from Alexandria via LeMat-Bulk.

Properties
* ΔH_f (0 K): -0.082 eV/atom
* space-group type: Imm2 (44)
* VASP energy: -19.53 eV/atom
* total magnetization: 23.934 μB per cell

Cell: 6.370 6.370 6.370 Å, 136.29 97.58 98.34°
Fractional positions:
Tb  0.000  0.000  0.000
Ti  0.376  0.376  0.000
Fe  0.005  0.006  0.499
Fe  0.005  0.507  0.999
Fe  0.231  0.510  0.721
Fe  0.231  0.731  0.500
Fe  0.365  0.008  0.358
Fe  0.508  0.006  0.001
Fe  0.508  0.507  0.501
Fe  0.650  0.008  0.642
Fe  0.653  0.653  0.000
Fe  0.782  0.282  0.500
Fe  0.789  0.510  0.279
C  0.006  0.506  0.500

# 5
The following is a meta-GGA SCAN calculation of FeTc at its PBEsol-relaxed geometry, from Alexandria via LeMat-Bulk.

Properties
* ΔH_f (0 K): 1.226 eV/atom
* space-group type: Fm-3m (225)
* VASP energy: -25.37 eV/atom
* total magnetization: 0.000 μB per cell

Cell: 3.340 3.340 3.340 Å, 60.00 60.00 60.00°
Fractional positions:
Fe  0.000  0.000  0.000
Tc  0.500  0.500  0.500

# 6
The following is a meta-GGA SCAN calculation of SrNiCl2 at its PBEsol-relaxed geometry, from Alexandria via LeMat-Bulk.

Properties
* ΔE to the lowest computed polymorph: 739.1 meV/atom
* space-group type: F-43m (216)
* VASP energy: -14.18 eV/atom
* total magnetization: 0.070 μB per cell
* ΔE_f (raw): -0.58 eV/atom

Cell: 4.852 4.852 4.852 Å, 60.00 60.00 60.00°
Fractional positions:
Sr  0.000  0.000  0.000
Ni  0.750  0.750  0.750
Cl  0.250  0.250  0.250
Cl  0.500  0.500  0.500